[1]
# TaCoAs

A geometry-optimized TaCoAs structure (PBE-GGA, Alexandria via LeMat-Bulk). Values from VASP.

Structure (Quantum ESPRESSO input):
```
&SYSTEM
  ibrav = 0, nat = 12, ntyp = 3
/
ATOMIC_SPECIES
Ta 180.95 Ta.upf
Co 58.93 Co.upf
As 74.92 As.upf
CELL_PARAMETERS angstrom
6.2860 0.0000 0.0000
0.0000 3.7452 0.0000
0.0000 0.0000 7.1667
ATOMIC_POSITIONS crystal
Ta 0.0219 0.2500 0.1705
Ta 0.4781 0.7500 0.6705
Ta 0.5219 0.2500 0.3295
Ta 0.9781 0.7500 0.8295
Co 0.1567 0.2500 0.5675
Co 0.3433 0.7500 0.0675
Co 0.6567 0.2500 0.9325
Co 0.8433 0.7500 0.4325
As 0.2169 0.7500 0.3794
As 0.2831 0.2500 0.8794
As 0.7169 0.7500 0.1206
As 0.7831 0.2500 0.6206
```

Output
energy of formation from the pure elements = -0.425 eV per atom
space-group type = No. 62


[2]
# CsNa2HgPt

A geometry-optimized CsNa2HgPt structure (PBE-GGA, Alexandria via LeMat-Bulk). Values from VASP.

Structure (Quantum ESPRESSO input):
```
&SYSTEM
  ibrav = 0, nat = 5, ntyp = 4
/
ATOMIC_SPECIES
Cs 132.91 Cs.upf
Na 22.99 Na.upf
Hg 200.59 Hg.upf
Pt 195.08 Pt.upf
CELL_PARAMETERS angstrom
5.5920 0.0000 0.0000
0.0000 5.5920 0.0000
0.0000 0.0000 5.4786
ATOMIC_POSITIONS crystal
Cs 0.0000 0.0000 0.0000
Na 0.0000 0.5000 0.5000
Na 0.5000 0.0000 0.5000
Hg 0.5000 0.5000 0.0000
Pt 0.5000 0.5000 0.5000
```

Output
energy of formation from the pure elements = -0.132 eV per atom
space-group type = No. 123


[3]
# YMoPt2

A geometry-optimized YMoPt2 structure (PBE-GGA, Alexandria via LeMat-Bulk). Values from VASP.

Structure (Quantum ESPRESSO input):
```
&SYSTEM
  ibrav = 0, nat = 8, ntyp = 3
/
ATOMIC_SPECIES
Y 88.91 Y.upf
Mo 95.94 Mo.upf
Pt 195.08 Pt.upf
CELL_PARAMETERS angstrom
9.6000 0.0000 0.0000
0.0000 2.9617 0.0000
-0.8582 0.0000 5.1356
ATOMIC_POSITIONS crystal
Y 0.0000 0.0000 0.0000
Y 0.5000 0.5000 0.0000
Mo 0.2364 0.0000 0.6540
Mo 0.7364 0.5000 0.6540
Pt 0.2506 0.5000 0.2135
Pt 0.4983 0.0000 0.5102
Pt 0.7506 0.0000 0.2135
Pt 0.9983 0.5000 0.5102
```

Output
energy of formation from the pure elements = -0.382 eV per atom
offset from the most stable computed form = 0.37 eV per formula unit
space-group type = No. 8


[4]
# CuTcRh2

A geometry-optimized CuTcRh2 structure (PBE-GGA, Alexandria via LeMat-Bulk). Values from VASP.

Structure (Quantum ESPRESSO input):
```
&SYSTEM
  ibrav = 0, nat = 8, ntyp = 3
/
ATOMIC_SPECIES
Cu 63.55 Cu.upf
Tc 98.00 Tc.upf
Rh 102.91 Rh.upf
CELL_PARAMETERS angstrom
2.7580 0.0000 0.0000
0.0000 4.5281 0.0000
0.0000 0.0000 9.0766
ATOMIC_POSITIONS crystal
Cu 0.0000 0.0000 0.0000
Cu 0.5000 0.5000 0.0000
Tc 0.0000 0.5000 0.2491
Tc 0.5000 0.0000 0.2491
Rh 0.0000 0.0000 0.4980
Rh 0.0000 0.5000 0.7569
Rh 0.5000 0.0000 0.7569
Rh 0.5000 0.5000 0.4980
```

Output
energy of formation from the pure elements = 0.236 eV per atom
offset from the most stable computed form = 1.21 eV per formula unit
space-group type = No. 35


[5]
# Tm3IrAu2

A geometry-optimized Tm3IrAu2 structure (PBE-GGA, Alexandria via LeMat-Bulk). Values from VASP.

Structure (Quantum ESPRESSO input):
```
&SYSTEM
  ibrav = 0, nat = 12, ntyp = 3
/
ATOMIC_SPECIES
Tm 168.93 Tm.upf
Ir 192.22 Ir.upf
Au 196.97 Au.upf
CELL_PARAMETERS angstrom
6.5890 -2.8660 0.0000
6.5890 2.8660 0.0000
-2.4549 0.0000 7.6710
ATOMIC_POSITIONS crystal
Tm 0.0037 0.9963 0.7500
Tm 0.3502 0.3547 0.9264
Tm 0.3547 0.3502 0.4264
Tm 0.6453 0.6498 0.5736
Tm 0.6498 0.6453 0.0736
Tm 0.9963 0.0037 0.2500
Ir 0.4964 0.5036 0.2500
Ir 0.5036 0.4964 0.7500
Au 0.1738 0.1783 0.5882
Au 0.1783 0.1738 0.0882
Au 0.8217 0.8262 0.9118
Au 0.8262 0.8217 0.4118
```

Output
energy of formation from the pure elements = -0.779 eV per atom
offset from the most stable computed form = 0.73 eV per formula unit
space-group type = No. 15


[6]
# Ac3Pd2Pb4

A geometry-optimized Ac3Pd2Pb4 structure (PBE-GGA, Alexandria via LeMat-Bulk). Values from VASP.

Structure (Quantum ESPRESSO input):
```
&SYSTEM
  ibrav = 0, nat = 9, ntyp = 3
/
ATOMIC_SPECIES
Ac 227.00 Ac.upf
Pd 106.42 Pd.upf
Pb 207.20 Pb.upf
CELL_PARAMETERS angstrom
6.2197 -2.4951 0.0000
6.2197 2.4951 0.0000
-2.1436 0.0000 9.0513
ATOMIC_POSITIONS crystal
Ac 0.0000 0.0000 0.0000
Ac 0.3463 0.3463 0.3433
Ac 0.6537 0.6537 0.6567
Pd 0.4163 0.4163 0.7292
Pd 0.5837 0.5837 0.2708
Pb 0.0763 0.0763 0.3905
Pb 0.2709 0.2709 0.9121
Pb 0.7291 0.7291 0.0879
Pb 0.9237 0.9237 0.6095
```

Output
energy of formation from the pure elements = -0.572 eV per atom
offset from the most stable computed form = 0.15 eV per formula unit
space-group type = No. 12


[7]
# NbTcTeRu2

A geometry-optimized NbTcTeRu2 structure (PBE-GGA, Alexandria via LeMat-Bulk). Values from VASP.

Structure (Quantum ESPRESSO input):
```
&SYSTEM
  ibrav = 0, nat = 5, ntyp = 4
/
ATOMIC_SPECIES
Nb 92.91 Nb.upf
Tc 98.00 Tc.upf
Te 127.60 Te.upf
Ru 101.07 Ru.upf
CELL_PARAMETERS angstrom
4.6895 0.0000 0.0000
0.0000 4.6895 0.0000
0.0000 0.0000 4.7581
ATOMIC_POSITIONS crystal
Nb 0.0000 0.0000 0.0000
Tc 0.5000 0.5000 0.0000
Te 0.5000 0.5000 0.5000
Ru 0.0000 0.5000 0.5000
Ru 0.5000 0.0000 0.5000
```

Output
space-group type = No. 123


[8]
# FeCo2Tc

A geometry-optimized FeCo2Tc structure (PBE-GGA, Alexandria via LeMat-Bulk). Values from VASP.

Structure (Quantum ESPRESSO input):
```
&SYSTEM
  ibrav = 0, nat = 8, ntyp = 3
/
ATOMIC_SPECIES
Fe 55.84 Fe.upf
Co 58.93 Co.upf
Tc 98.00 Tc.upf
CELL_PARAMETERS angstrom
2.8449 0.0000 0.0000
0.0000 4.1627 0.0000
0.0000 0.0000 8.1397
ATOMIC_POSITIONS crystal
Fe 0.0000 0.0000 0.0000
Fe 0.5000 0.5000 0.5000
Co 0.0000 0.5000 0.2643
Co 0.0000 0.5000 0.7357
Co 0.5000 0.0000 0.2357
Co 0.5000 0.0000 0.7643
Tc 0.0000 0.0000 0.5000
Tc 0.5000 0.5000 0.0000
```

Output
energy of formation from the pure elements = 0.176 eV per atom
offset from the most stable computed form = 0.48 eV per formula unit
space-group type = No. 71


[9]
# Sr2ZnGe3Ir4

A geometry-optimized Sr2ZnGe3Ir4 structure (PBE-GGA, Alexandria via LeMat-Bulk). Values from VASP.

Structure (Quantum ESPRESSO input):
```
&SYSTEM
  ibrav = 0, nat = 10, ntyp = 4
/
ATOMIC_SPECIES
Sr 87.62 Sr.upf
Zn 65.41 Zn.upf
Ge 72.64 Ge.upf
Ir 192.22 Ir.upf
CELL_PARAMETERS angstrom
4.2831 0.0000 0.0000
0.0000 4.2831 0.0000
0.0000 0.0000 10.4384
ATOMIC_POSITIONS crystal
Sr 0.0000 0.5000 0.2485
Sr 0.5000 0.0000 0.7515
Zn 0.5000 0.5000 0.0000
Ge 0.0000 0.0000 0.0000
Ge 0.0000 0.5000 0.6263
Ge 0.5000 0.0000 0.3737
Ir 0.0000 0.0000 0.5000
Ir 0.0000 0.5000 0.8679
Ir 0.5000 0.0000 0.1321
Ir 0.5000 0.5000 0.5000
```

Output
energy of formation from the pure elements = -0.562 eV per atom
space-group type = No. 115


[10]
# SrHf2Ru

A geometry-optimized SrHf2Ru structure (PBE-GGA, Alexandria via LeMat-Bulk). Values from VASP.

Structure (Quantum ESPRESSO input):
```
&SYSTEM
  ibrav = 0, nat = 16, ntyp = 3
/
ATOMIC_SPECIES
Sr 87.62 Sr.upf
Hf 178.49 Hf.upf
Ru 101.07 Ru.upf
CELL_PARAMETERS angstrom
6.9712 0.0000 0.0000
0.0000 6.9712 0.0000
0.0000 0.0000 6.9712
ATOMIC_POSITIONS crystal
Sr 0.0000 0.0000 0.0000
Sr 0.0000 0.5000 0.5000
Sr 0.5000 0.0000 0.5000
Sr 0.5000 0.5000 0.0000
Hf 0.2500 0.2500 0.2500
Hf 0.2500 0.2500 0.7500
Hf 0.2500 0.7500 0.2500
Hf 0.2500 0.7500 0.7500
Hf 0.7500 0.2500 0.2500
Hf 0.7500 0.2500 0.7500
Hf 0.7500 0.7500 0.2500
Hf 0.7500 0.7500 0.7500
Ru 0.0000 0.0000 0.5000
Ru 0.0000 0.5000 0.0000
Ru 0.5000 0.0000 0.0000
Ru 0.5000 0.5000 0.5000
```

Output
energy of formation from the pure elements = 0.435 eV per atom
offset from the most stable computed form = 0.00 eV per formula unit
space-group type = No. 225


[11]
# SbPd2PtPb

A geometry-optimized SbPd2PtPb structure (PBE-GGA, Alexandria via LeMat-Bulk). Values from VASP.

Structure (Quantum ESPRESSO input):
```
&SYSTEM
  ibrav = 0, nat = 5, ntyp = 4
/
ATOMIC_SPECIES
Sb 121.76 Sb.upf
Pd 106.42 Pd.upf
Pt 195.08 Pt.upf
Pb 207.20 Pb.upf
CELL_PARAMETERS angstrom
5.0504 0.0000 0.0000
0.0000 5.0504 0.0000
0.0000 0.0000 5.0559
ATOMIC_POSITIONS crystal
Sb 0.0000 0.0000 0.0000
Pd 0.0000 0.5000 0.5000
Pd 0.5000 0.0000 0.5000
Pt 0.5000 0.5000 0.5000
Pb 0.5000 0.5000 0.0000
```

Output
space-group type = No. 123


| no. | final energy (Ha/atom) |
| --- | --- |
| 1 | -0.3048 |
| 2 | -0.0771 |
| 3 | -0.2839 |
| 4 | -0.2593 |
| 5 | -0.2052 |
| 6 | -0.1743 |
| 7 | -0.2496 |
| 8 | -0.2971 |
| 9 | -0.2189 |
| 10 | -0.2676 |
| 11 | -0.1572 |